LiMoCO5 after structural relaxation. Source: Alexandria, functional GGA+U.

Computed properties:
Electronic total energy in eV for the cell shown: -219.61
Volume in Å³/f.u.: 82

Cell: 6.553 7.796 7.195 Å, 90.00 116.30 90.00°
Space group C2/c (No. 15)
One atom of each set of equivalent atoms:
Li: 0.000 0.157 0.250 (multiplicity 4)
Mo: 0.000 0.500 0.000 (multiplicity 4)
C: 0.000 0.172 0.750 (multiplicity 4)
O: 0.000 0.406 0.250 (multiplicity 4)
O: 0.089 0.270 0.641 (multiplicity 8)
O: 0.168 0.059 0.888 (multiplicity 8)